The following is a GGA-PBE calculation of a relaxed DyHoMgTc crystal, from the Alexandria database.

Results
**Space-group type**: No. 216
**Energy of formation from the pure elements**: -20 meV per atom
**DOS(E_F)**: 0.612 states/eV per atom

a = 5.0205 Å, b = 5.0205 Å, c = 5.0205 Å
α = 60.00°, β = 60.00°, γ = 60.00°
Closest atoms and distances in Å follow each position.
Element x y z (fractional)
Tc  0.5000  0.5000  0.5000  4 Dy 3.07, 4 Ho 3.07
Mg  0.0000  0.0000  0.0000  4 Ho 3.07, 4 Dy 3.07
Ho  0.7500  0.7500  0.7500  4 Tc 3.07, 4 Mg 3.07
Dy  0.2500  0.2500  0.2500  4 Mg 3.07, 4 Tc 3.07